Y2MnAlC | GGA-PBE | relaxed

Magnetization in Bohr magnetons per cell: 0.00
Energy of formation in meV/atom: -304
Symmetry: P4/mmm (123)

abc: 4.964 4.964 3.756
angles: 90.00 90.00 90.00
Element x y z (fractional)
Y 0.000 0.500 0.000
Y 0.500 0.000 0.000
Mn 0.000 0.000 0.500
Al 0.500 0.500 0.500
C 0.000 0.000 0.000

LaFePb2 | GGA-PBE | relaxed

Magnetization in Bohr magnetons per cell: 1.58
Energy of formation in meV/atom: 68
Symmetry: Immm (71)
Excess energy over the best structure of this formula in the dataset in meV per atom: 91

abc: 6.109 6.109 6.109
angles: 146.28 123.56 67.38
Element x y z (fractional)
La 0.000 0.000 0.000
Fe 0.500 0.500 0.000
Pb 0.291 0.791 0.500
Pb 0.709 0.209 0.500

CrIn | GGA-PBE | relaxed

Magnetization in Bohr magnetons per cell: 0.00
Energy of formation in meV/atom: 732
Symmetry: Fd-3m (227)

abc: 4.529 4.529 4.529
angles: 60.00 60.00 60.00
Element x y z (fractional)
Cr 0.125 0.125 0.125
Cr 0.875 0.875 0.875
In 0.375 0.375 0.375
In 0.625 0.625 0.625

TeWAu2 | GGA-PBE | relaxed

Magnetization in Bohr magnetons per cell: 0.00
Symmetry: Pm (6)
Energy relative to the elements, uncorrected in eV per atom: 0.566

abc: 2.875 5.006 5.375
angles: 90.00 90.04 90.00
Element x y z (fractional)
Te 0.000 0.000 0.000
W 0.999 0.500 0.751
Au 0.498 0.000 0.533
Au 0.499 0.500 0.271

TbDyC4 | GGA-PBE | relaxed

Magnetization in Bohr magnetons per cell: 0.00
Energy of formation in meV/atom: -186
Symmetry: C2/m (12)

abc: 3.974 3.974 7.379
angles: 114.65 114.65 55.15
Element x y z (fractional)
Tb 0.000 0.000 0.000
Dy 0.000 0.000 0.500
C 0.394 0.394 0.694
C 0.397 0.397 0.197
C 0.603 0.603 0.803
C 0.606 0.606 0.306

ErHfF | GGA-PBE | relaxed

Magnetization in Bohr magnetons per cell: 0.00
Symmetry: C2/m (12)
Energy relative to the elements, uncorrected in eV per atom: -1.421

abc: 5.444 5.444 8.486
angles: 119.45 119.45 35.27
Element x y z (fractional)
Er 0.048 0.048 0.319
Er 0.952 0.952 0.681
Hf 0.338 0.338 0.938
Hf 0.662 0.662 0.062
F 0.268 0.268 0.626
F 0.732 0.732 0.374

Er2ZrAs3 | GGA-PBE | relaxed

Magnetization in Bohr magnetons per cell: 0.00
Energy of formation in meV/atom: -1367
Symmetry: I4/mmm (139)

abc: 8.936 8.936 8.936
angles: 154.09 154.09 36.97
Element x y z (fractional)
Er 0.167 0.167 0.000
Er 0.833 0.833 0.000
Zr 0.500 0.500 0.000
As 0.000 0.000 0.000
As 0.337 0.337 0.000
As 0.663 0.663 0.000

TlRh2W | GGA-PBE | relaxed

Magnetization in Bohr magnetons per cell: 0.00
Energy of formation in meV/atom: 246
Symmetry: I4/mmm (139)
Excess energy over the best structure of this formula in the dataset in meV per atom: 261

abc: 4.846 4.846 4.846
angles: 130.05 130.05 73.33
Element x y z (fractional)
Tl 0.000 0.000 0.000
Rh 0.250 0.750 0.500
Rh 0.750 0.250 0.500
W 0.500 0.500 0.000

Ca8MgN4 | GGA-PBE | relaxed

Magnetization in Bohr magnetons per cell: 0.72
Symmetry: Cm (8)
Energy relative to the elements, uncorrected in eV per atom: -0.658

abc: 9.180 9.180 12.711
angles: 133.74 133.74 22.70
Element x y z (fractional)
Ca 0.000 0.000 0.000
Ca 0.008 0.008 0.267
Ca 0.045 0.045 0.691
Ca 0.302 0.302 0.936
Ca 0.386 0.386 0.354
Ca 0.644 0.644 0.599
Ca 0.680 0.680 0.023
Ca 0.689 0.689 0.290
Mg 0.344 0.344 0.646
N 0.012 0.012 0.467
N 0.190 0.190 0.159
N 0.498 0.498 0.131
N 0.677 0.677 0.823

Cs2BeSn | GGA-PBE | relaxed

Magnetization in Bohr magnetons per cell: 2.00
Energy of formation in meV/atom: 751
Symmetry: Fm-3m (225)

abc: 6.475 6.475 6.475
angles: 60.00 60.00 60.00
Element x y z (fractional)
Cs 0.250 0.250 0.250
Cs 0.750 0.750 0.750
Be 0.000 0.000 0.000
Sn 0.500 0.500 0.500

BaLiCuBr4 | GGA-PBE | relaxed

Magnetization in Bohr magnetons per cell: 0.28
Symmetry: P2_1/m (11)
Energy relative to the elements, uncorrected in eV per atom: -1.400

abc: 6.217 9.419 8.293
angles: 90.00 102.33 90.00
Element x y z (fractional)
Ba 0.128 0.250 0.103
Ba 0.872 0.750 0.897
Li 0.285 0.250 0.687
Li 0.715 0.750 0.313
Cu 0.237 0.750 0.299
Cu 0.763 0.250 0.701
Br 0.030 0.051 0.757
Br 0.030 0.449 0.757
Br 0.416 0.750 0.044
Br 0.477 0.250 0.455
Br 0.523 0.750 0.545
Br 0.584 0.250 0.956
Br 0.970 0.551 0.243
Br 0.970 0.949 0.243

PuCBr | GGA-PBE | relaxed

Magnetization in Bohr magnetons per cell: 15.44
Symmetry: Pnma (62)
Energy relative to the elements, uncorrected in eV per atom: -0.131

abc: 11.962 4.011 5.891
angles: 90.00 90.00 90.00
Element x y z (fractional)
Pu 0.126 0.250 0.001
Pu 0.374 0.750 0.501
Pu 0.626 0.250 0.499
Pu 0.874 0.750 0.999
C 0.060 0.750 0.001
C 0.440 0.250 0.501
C 0.560 0.750 0.499
C 0.940 0.250 0.999
Br 0.165 0.250 0.501
Br 0.335 0.750 0.001
Br 0.665 0.250 0.999
Br 0.835 0.750 0.499